Entry 1:
Below is a geometry-optimized RbUO3 structure, with properties calculated at the GGA-PBEsol level.

The space group is Pm-3m (No. 221) and the conventional cell measures 4.3092, 4.3092 and 4.3092 Å, with angles of 90.00, 90.00 and 90.00 degrees. The asymmetric unit holds Rb at (0.0000, 0.0000, 0.0000), U at (0.5000, 0.5000, 0.5000) and O at (0.0000, 0.5000, 0.5000).

Its total magnetic moment is 1.0 Bohr magnetons per cell. The calculation puts the final energy at -0.3173 Ha/atom. The calculation puts the formation energy (no corrections) at -2.85 eV/atom. The calculated density is 7709 kg/m³.

Entry 2:
Below is a geometry-optimized MgHg2Pb structure, with properties calculated at the GGA-PBEsol level.

The space group is P4/mmm (No. 123) and the conventional cell measures 5.2307, 5.2307 and 3.5253 Å, with angles of 90.00, 90.00 and 90.00 degrees. The asymmetric unit holds Mg at (0.0000, 0.0000, 0.0000), Hg at (0.0000, 0.5000, 0.5000) and Pb at (0.5000, 0.5000, 0.0000).

Its total magnetic moment is 0.0 Bohr magnetons per cell. The calculation puts the final energy at -0.0660 Ha/atom. The energy relative to the elements comes out at -0.084 eV/atom. The calculated density is 10892 kg/m³.

Entry 3:
Below is a geometry-optimized YCr2P structure, with properties calculated at the GGA-PBEsol level.

The space group is C2/m (No. 12) and the conventional cell measures 5.4336, 8.6577 and 3.0327 Å, with angles of 90.00, 122.74 and 90.00 degrees. The asymmetric unit holds Y at (0.0000, 0.0000, 0.0000), Cr at (0.2500, 0.2500, 0.5000) and P at (0.0000, 0.5000, 0.0000).

Its total magnetic moment is 4.0 Bohr magnetons per cell. The calculation puts the final energy at -0.2905 Ha/atom. The energy relative to the elements comes out at 0.370 eV/atom. The calculated density is 6196 kg/m³.

Entry 4:
Below is a geometry-optimized TcPbC3 structure, with properties calculated at the GGA-PBEsol level.

The space group is Pm-3m (No. 221) and the conventional cell measures 4.2797, 4.2797 and 4.2797 Å, with angles of 90.00, 90.00 and 90.00 degrees. The asymmetric unit holds Tc at (0.0000, 0.0000, 0.0000), Pb at (0.5000, 0.5000, 0.5000) and C at (0.0000, 0.5000, 0.5000).

Its total magnetic moment is 1.9 Bohr magnetons per cell. The calculation puts the final energy at -0.1844 Ha/atom. The energy relative to the elements comes out at 3.823 eV/atom. The calculated density is 7229 kg/m³.

Entry 5:
Below is a geometry-optimized Li2AgI structure, with properties calculated at the GGA-PBEsol level.

The space group is I-42d (No. 122) and the conventional cell measures 7.0831, 7.0831 and 8.0807 Å, with angles of 90.00, 90.00 and 90.00 degrees. The asymmetric unit holds Li at (0.2448, 0.2500, 0.1250), Ag at (0.0000, 0.0000, 0.0000) and I at (0.0000, 0.0000, 0.5000).

Its total magnetic moment is 0.0 Bohr magnetons per cell. The calculation puts the final energy at -0.0950 Ha/atom. The calculation puts the formation energy (no corrections) at -0.33 eV/atom. The calculated density is 4074 kg/m³.

Entry 6:
Below is a geometry-optimized Cr2AgOs structure, with properties calculated at the GGA-PBEsol level.

The space group is I4/mmm (No. 139) and the conventional cell measures 3.7905, 3.7905 and 7.3114 Å, with angles of 90.00, 90.00 and 90.00 degrees. The asymmetric unit holds Cr at (0.0000, 0.5000, 0.2500), Ag at (0.0000, 0.0000, 0.0000) and Os at (0.0000, 0.0000, 0.5000).

Its total magnetic moment is 1.5 Bohr magnetons per cell. The calculation puts the final energy at -0.3113 Ha/atom. The energy relative to the elements comes out at 0.533 eV/atom. The calculated density is 12712 kg/m³.

Entry 7:
Below is a geometry-optimized Li2SiTcCl structure, with properties calculated at the GGA-PBEsol level.

The space group is P4/mmm (No. 123) and the conventional cell measures 5.1751, 5.1751 and 4.4312 Å, with angles of 90.00, 90.00 and 90.00 degrees. The asymmetric unit holds Li at (0.0000, 0.5000, 0.0000), Si at (0.0000, 0.0000, 0.5000), Tc at (0.0000, 0.0000, 0.0000) and Cl at (0.5000, 0.5000, 0.5000).

Its total magnetic moment is 1.8 Bohr magnetons per cell. The calculation puts the final energy at -0.1467 Ha/atom. The calculation puts the formation energy (no corrections) at 0.60 eV/atom. The calculated density is 2455 kg/m³.

Entry 8:
Below is a geometry-optimized KBaAu2 structure, with properties calculated at the GGA-PBEsol level.

The space group is F-43m (No. 216) and the conventional cell measures 7.4908, 7.4908 and 7.4908 Å, with angles of 90.00, 90.00 and 90.00 degrees. The asymmetric unit holds K at (0.0000, 0.0000, 0.0000), Ba at (0.2500, 0.2500, 0.7500), Au at (0.0000, 0.0000, 0.5000) and Au at (0.2500, 0.2500, 0.2500).

Its total magnetic moment is 0.0 Bohr magnetons per cell. The calculation puts the final energy at -0.1102 Ha/atom. The energy relative to the elements comes out at -0.215 eV/atom. The calculated density is 9013 kg/m³.